## A
## Y2MgTe2 (PBE)

Data for an optimized crystal structure of Y2MgTe2.

Volume = 27.8 A^3/atom
Crystal system = tetragonal

a = 8.4077 Å, b = 8.4077 Å, c = 3.9296 Å
α = 90.00°, β = 90.00°, γ = 90.00°
Closest atoms and distances in Å follow each position.
Space group P4/mbm (No. 127)
One atom of each set of equivalent atoms:
Y (0.1506, 0.3494, 0.0000)  6 Te 3.11-3.18
Mg (0.0000, 0.0000, 0.5000)  4 Te 3.22
Te (0.1469, 0.6469, 0.5000)  6 Y 3.11-3.18, 2 Mg 3.22

---

## B
## Y2MgTe2 (PBE)

Data for an optimized crystal structure of Y2MgTe2.

Volume = 28.6 A^3/atom
Crystal system = tetragonal

a = 8.4756 Å, b = 8.4756 Å, c = 3.9763 Å
α = 90.00°, β = 90.00°, γ = 90.00°
Closest atoms and distances in Å follow each position.
Space group P4/mbm (No. 127)
One atom of each set of equivalent atoms:
Y (0.1474, 0.3526, 0.0000)  6 Te 3.13-3.21, 2 Mg 3.24
Mg (0.0000, 0.0000, 0.0000)  4 Y 3.24
Te (0.1505, 0.6505, 0.5000)  6 Y 3.13-3.21

---

Most favorable first, least favorable last: A, B

---

## A
## MgZn2Te (PBE)

Data for an optimized crystal structure of MgZn2Te.

Volume = 21.8 A^3/atom
Crystal system = orthorhombic

a = 4.4991 Å, b = 4.6978 Å, c = 8.2459 Å
α = 90.00°, β = 90.00°, γ = 90.00°
Closest atoms and distances in Å follow each position.
Space group Cmm2 (No. 35)
One atom of each set of equivalent atoms:
Mg (0.0000, 0.0000, 0.0000)  5 Zn 2.92-3.25, 4 Te 3.13-3.20, 4 Mg 3.25
Zn (0.0000, 0.0000, 0.6058)  4 Zn 2.65-2.73
Zn (0.0000, 0.5000, 0.7748)  4 Zn 2.65-2.73, 2 Mg 2.92
Te (0.0000, 0.5000, 0.2633)  4 Mg 3.13-3.20, 4 Te 3.25

---

## B
## MgZn2Te (PBE)

Data for an optimized crystal structure of MgZn2Te.

Volume = 22.9 A^3/atom
Crystal system = tetragonal

a = 3.8363 Å, b = 3.8363 Å, c = 6.2350 Å
α = 90.00°, β = 90.00°, γ = 90.00°
Closest atoms and distances in Å follow each position.
Space group P4mm (No. 99)
One atom of each set of equivalent atoms:
Mg (0.0000, 0.0000, 0.0000)  1 Zn 2.74, 4 Te 2.89
Zn (0.0000, 0.0000, 0.5601)  1 Mg 2.74, 4 Zn 2.77
Zn (0.5000, 0.5000, 0.6511)  4 Zn 2.77, 1 Te 3.07
Te (0.5000, 0.5000, 0.1579)  4 Mg 2.89, 2 Zn 3.07-3.16

---

## C
## MgZn2Te (PBE)

Data for an optimized crystal structure of MgZn2Te.

Volume = 23.8 A^3/atom
Crystal system = monoclinic

a = 12.5579 Å, b = 3.9900 Å, c = 3.9911 Å
α = 90.00°, β = 108.13°, γ = 90.00°
Closest atoms and distances in Å follow each position.
Space group C2/m (No. 12)
One atom of each set of equivalent atoms:
Mg (0.0000, 0.0000, 0.0000)  4 Te 2.82, 2 Zn 3.11
Zn (0.2396, 0.5000, 0.7405)  4 Zn 2.83-2.84, 1 Te 2.86, 1 Mg 3.11
Te (0.0000, 0.5000, 0.5000)  4 Mg 2.82, 2 Zn 2.86

---

## D
## MgZn2Te (PBE)

Data for an optimized crystal structure of MgZn2Te.

Volume = 23.3 A^3/atom
Crystal system = tetragonal

a = 8.2176 Å, b = 8.2176 Å, c = 5.5193 Å
α = 90.00°, β = 90.00°, γ = 90.00°
Closest atoms and distances in Å follow each position.
Space group I-42d (No. 122)
One atom of each set of equivalent atoms:
Mg (0.0000, 0.0000, 0.0000)  2 Te 2.76, 4 Zn 3.09
Zn (0.2320, 0.2500, 0.6250)  2 Zn 2.78, 2 Te 2.89, 2 Mg 3.09
Te (0.0000, 0.0000, 0.5000)  2 Mg 2.76, 4 Zn 2.89

---

Most favorable first, least favorable last: C, B, D, A

---

## A
## MgZn2Te (PBE)

Data for an optimized crystal structure of MgZn2Te.

Volume = 21.8 A^3/atom
Crystal system = orthorhombic

a = 4.3311 Å, b = 4.8382 Å, c = 8.3089 Å
α = 90.00°, β = 90.00°, γ = 90.00°
Closest atoms and distances in Å follow each position.
Space group Cmmm (No. 65)
One atom of each set of equivalent atoms:
Mg (0.0000, 0.0000, 0.0000)  8 Zn 2.87-3.06
Zn (0.0000, 0.5000, 0.2260)  4 Mg 2.87-3.06, 2 Te 3.14
Te (0.0000, 0.0000, 0.5000)  8 Zn 3.14-3.32, 4 Te 3.25

---

## B
## MgZn2Te (PBE)

Data for an optimized crystal structure of MgZn2Te.

Volume = 21.5 A^3/atom
Crystal system = tetragonal

a = 4.5403 Å, b = 4.5403 Å, c = 8.3266 Å
α = 90.00°, β = 90.00°, γ = 90.00°
Closest atoms and distances in Å follow each position.
Space group I-4m2 (No. 119)
One atom of each set of equivalent atoms:
Mg (0.0000, 0.0000, 0.0000)  4 Te 3.08, 8 Zn 3.08-3.21
Zn (0.0000, 0.0000, 0.5000)  4 Te 3.08, 4 Zn 3.08, 4 Mg 3.21
Zn (0.0000, 0.5000, 0.2500)  4 Mg 3.08, 4 Zn 3.08, 4 Te 3.21
Te (0.0000, 0.5000, 0.7500)  4 Mg 3.08, 8 Zn 3.08-3.21

---

Most favorable first, least favorable last: B, A

---

## A
## MgZnTe3 (PBE)

Data for an optimized crystal structure of MgZnTe3.

Volume = 32.9 A^3/atom
Crystal system = cubic

a = 5.4780 Å, b = 5.4780 Å, c = 5.4780 Å
α = 90.00°, β = 90.00°, γ = 90.00°
Closest atoms and distances in Å follow each position.
Space group Pm-3m (No. 221)
One atom of each set of equivalent atoms:
Mg (0.0000, 0.0000, 0.0000)  6 Te 2.74
Zn (0.5000, 0.5000, 0.5000)  12 Te 3.87
Te (0.0000, 0.0000, 0.5000)  2 Mg 2.74

---

## B
## MgZnTe3 (PBE)

Data for an optimized crystal structure of MgZnTe3.

Volume = 30.1 A^3/atom
Crystal system = cubic

a = 5.3213 Å, b = 5.3213 Å, c = 5.3213 Å
α = 90.00°, β = 90.00°, γ = 90.00°
Closest atoms and distances in Å follow each position.
Space group Pm-3m (No. 221)
One atom of each set of equivalent atoms:
Mg (0.0000, 0.0000, 0.0000)  12 Te 3.76
Zn (0.5000, 0.5000, 0.5000)  6 Te 2.66
Te (0.0000, 0.5000, 0.5000)  2 Zn 2.66

---

Most favorable first, least favorable last: B, A

---

## A
## MgZrTe (PBE)

Data for an optimized crystal structure of MgZrTe.

Volume = 22.4 A^3/atom
Crystal system = tetragonal

a = 3.6775 Å, b = 3.6775 Å, c = 9.9454 Å
α = 90.00°, β = 90.00°, γ = 90.00°
Closest atoms and distances in Å follow each position.
Space group P4/mmm (No. 123)
One atom of each set of equivalent atoms:
Mg (0.0000, 0.0000, 0.1700)  4 Te 3.05, 5 Zr 3.10-3.28, 1 Mg 3.38
Zr (0.0000, 0.0000, 0.5000)  8 Te 3.11, 2 Mg 3.28
Zr (0.5000, 0.5000, 0.0000)  8 Mg 3.10, 2 Te 3.27
Te (0.5000, 0.5000, 0.3293)  4 Mg 3.05, 5 Zr 3.11-3.27, 1 Te 3.40

---

## B
## MgZrTe (PBE)

Data for an optimized crystal structure of MgZrTe.

Volume = 25.9 A^3/atom
Crystal system = hexagonal

a = 4.8849 Å, b = 4.8849 Å, c = 3.7659 Å
α = 90.00°, β = 90.00°, γ = 120.00°
Closest atoms and distances in Å follow each position.
Space group P-6m2 (No. 187)
One atom of each set of equivalent atoms:
Mg (0.0000, 0.0000, 0.0000)  6 Zr 3.39, 6 Te 3.39, 2 Mg 3.77
Zr (0.3333, 0.6667, 0.5000)  3 Te 2.82
Te (0.6667, 0.3333, 0.5000)  3 Zr 2.82

---

Most favorable first, least favorable last: A, B

---

## A
## MgZrTe (PBE)

Data for an optimized crystal structure of MgZrTe.

Volume = 26.1 A^3/atom
Crystal system = trigonal

a = 3.6761 Å, b = 3.6761 Å, c = 6.6958 Å
α = 90.00°, β = 90.00°, γ = 120.00°
Closest atoms and distances in Å follow each position.
Space group P3m1 (No. 156)
One atom of each set of equivalent atoms:
Mg (0.0000, 0.0000, 0.0000)  3 Te 3.17, 3 Zr 3.20
Zr (0.3333, 0.6667, 0.6423)  3 Te 2.88, 3 Mg 3.20
Te (0.6667, 0.3333, 0.3508)  3 Zr 2.88, 3 Mg 3.17

---

## B
## MgZrTe (PBE)

Data for an optimized crystal structure of MgZrTe.

Volume = 26.7 A^3/atom
Crystal system = cubic

a = 6.8451 Å, b = 6.8451 Å, c = 6.8451 Å
α = 90.00°, β = 90.00°, γ = 90.00°
Closest atoms and distances in Å follow each position.
Space group F-43m (No. 216)
One atom of each set of equivalent atoms:
Mg (0.0000, 0.0000, 0.0000)  4 Te 2.96
Zr (0.0000, 0.0000, 0.5000)  4 Te 2.96
Te (0.2500, 0.2500, 0.7500)  4 Zr 2.96, 4 Mg 2.96

---

Most favorable first, least favorable last: A, B

---

## A
## MgZrTe (PBE)

Data for an optimized crystal structure of MgZrTe.

Volume = 22.8 A^3/atom
Crystal system = tetragonal

a = 3.6595 Å, b = 3.6595 Å, c = 10.2220 Å
α = 90.00°, β = 90.00°, γ = 90.00°
Closest atoms and distances in Å follow each position.
Space group I4mm (No. 107)
One atom of each set of equivalent atoms:
Mg (0.0000, 0.0000, 0.0000)  5 Zr 3.13-3.35, 5 Te 3.15-3.31
Zr (0.0000, 0.0000, 0.3280)  4 Te 3.02, 5 Mg 3.13-3.35
Te (0.0000, 0.0000, 0.6761)  4 Zr 3.02, 5 Mg 3.15-3.31

---

## B
## MgZrTe (PBE)

Data for an optimized crystal structure of MgZrTe.

Volume = 28.0 A^3/atom
Crystal system = cubic

a = 6.9531 Å, b = 6.9531 Å, c = 6.9531 Å
α = 90.00°, β = 90.00°, γ = 90.00°
Closest atoms and distances in Å follow each position.
Space group F-43m (No. 216)
One atom of each set of equivalent atoms:
Mg (0.0000, 0.0000, 0.0000)  4 Zr 3.01
Zr (0.2500, 0.2500, 0.2500)  4 Mg 3.01, 4 Te 3.01
Te (0.0000, 0.0000, 0.5000)  4 Zr 3.01

---

Most favorable first, least favorable last: A, B

---

## A
## Mg2ZrTe2 (PBE)

Data for an optimized crystal structure of Mg2ZrTe2.

Volume = 23.7 A^3/atom
Crystal system = tetragonal

a = 7.8994 Å, b = 7.8994 Å, c = 3.8049 Å
α = 90.00°, β = 90.00°, γ = 90.00°
Closest atoms and distances in Å follow each position.
Space group P4/mbm (No. 127)
One atom of each set of equivalent atoms:
Mg (0.1300, 0.3700, 0.0000)  6 Te 2.88-3.10, 1 Mg 2.90, 2 Zr 3.10
Zr (0.0000, 0.0000, 0.0000)  4 Mg 3.10
Te (0.1765, 0.6765, 0.5000)  6 Mg 2.88-3.10

---

## B
## Mg2ZrTe2 (PBE)

Data for an optimized crystal structure of Mg2ZrTe2.

Volume = 26.1 A^3/atom
Crystal system = tetragonal

a = 5.4914 Å, b = 5.4914 Å, c = 8.6620 Å
α = 90.00°, β = 90.00°, γ = 90.00°
Closest atoms and distances in Å follow each position.
Space group I4/mmm (No. 139)
One atom of each set of equivalent atoms:
Mg (0.0000, 0.0000, 0.1550)  1 Mg 2.68, 4 Te 2.87, 1 Zr 2.99
Zr (0.0000, 0.0000, 0.5000)  2 Mg 2.99
Te (0.0000, 0.5000, 0.2500)  4 Mg 2.87

---

Most favorable first, least favorable last: A, B

---

## A
## Mg2Zr2Te (PBE)

Data for an optimized crystal structure of Mg2Zr2Te.

Volume = 23.8 A^3/atom
Crystal system = tetragonal

a = 3.8053 Å, b = 3.8053 Å, c = 16.4409 Å
α = 90.00°, β = 90.00°, γ = 90.00°
Closest atoms and distances in Å follow each position.
Space group I4/mmm (No. 139)
One atom of each set of equivalent atoms:
Mg (0.0000, 0.5000, 0.2500)  4 Mg 2.69
Zr (0.0000, 0.0000, 0.0932)  1 Zr 3.07, 4 Te 3.10, 4 Mg 3.20
Te (0.0000, 0.0000, 0.5000)  8 Zr 3.10

---

## B
## Mg2Zr2Te (PBE)

Data for an optimized crystal structure of Mg2Zr2Te.

Volume = 25.0 A^3/atom
Crystal system = tetragonal

a = 7.3478 Å, b = 7.3478 Å, c = 4.6227 Å
α = 90.00°, β = 90.00°, γ = 90.00°
Closest atoms and distances in Å follow each position.
Space group P4/mbm (No. 127)
One atom of each set of equivalent atoms:
Mg (0.1459, 0.3541, 0.0000)  1 Mg 3.03, 6 Zr 3.14-3.17
Zr (0.1494, 0.6494, 0.5000)  2 Te 2.80, 1 Zr 3.10
Te (0.0000, 0.0000, 0.5000)  4 Zr 2.80

---

Most favorable first, least favorable last: B, A

---

## A
## Mg3ZrTe (PBE)

Data for an optimized crystal structure of Mg3ZrTe.

Volume = 30.4 A^3/atom
Crystal system = cubic

a = 5.3365 Å, b = 5.3365 Å, c = 5.3365 Å
α = 90.00°, β = 90.00°, γ = 90.00°
Closest atoms and distances in Å follow each position.
Space group Pm-3m (No. 221)
One atom of each set of equivalent atoms:
Mg (0.0000, 0.0000, 0.5000)  2 Te 2.67
Zr (0.5000, 0.5000, 0.5000)  12 Mg 3.77
Te (0.0000, 0.0000, 0.0000)  6 Mg 2.67

---

## B
## Mg3ZrTe (PBE)

Data for an optimized crystal structure of Mg3ZrTe.

Volume = 35.8 A^3/atom
Crystal system = cubic

a = 5.6380 Å, b = 5.6380 Å, c = 5.6380 Å
α = 90.00°, β = 90.00°, γ = 90.00°
Closest atoms and distances in Å follow each position.
Space group Pm-3m (No. 221)
One atom of each set of equivalent atoms:
Mg (0.0000, 0.0000, 0.5000)  2 Zr 2.82
Zr (0.0000, 0.0000, 0.0000)  6 Mg 2.82
Te (0.5000, 0.5000, 0.5000)  12 Mg 3.99

---

Most favorable first, least favorable last: A, B

---

## A
## Th2Mg (PBE)

Data for an optimized crystal structure of Th2Mg.

Volume = 30.1 A^3/atom
Crystal system = tetragonal

a = 3.4185 Å, b = 3.4185 Å, c = 15.4645 Å
α = 90.00°, β = 90.00°, γ = 90.00°
Closest atoms and distances in Å follow each position.
Space group I4/mmm (No. 139)
One atom of each set of equivalent atoms:
Th (0.0000, 0.0000, 0.1639)  8 Th 3.42-3.60, 4 Mg 3.50
Mg (0.0000, 0.0000, 0.5000)  4 Mg 3.42, 8 Th 3.50

---

## B
## Th2Mg (PBE)

Data for an optimized crystal structure of Th2Mg.

Volume = 33.3 A^3/atom
Crystal system = cubic

a = 9.2822 Å, b = 9.2822 Å, c = 9.2822 Å
α = 90.00°, β = 90.00°, γ = 90.00°
Closest atoms and distances in Å follow each position.
Space group Fd-3m (No. 227, origin choice 2)
One atom of each set of equivalent atoms:
Th (0.0000, 0.0000, 0.0000)  6 Th 3.28
Mg (0.1250, 0.1250, 0.6250)  12 Th 3.85, 4 Mg 4.02

---

Most favorable first, least favorable last: A, B

---

## A
## Th5Mg (PBE)

Data for an optimized crystal structure of Th5Mg.

Volume = 31.4 A^3/atom
Crystal system = hexagonal

a = 3.5084 Å, b = 3.5084 Å, c = 17.6824 Å
α = 90.00°, β = 90.00°, γ = 120.00°
Closest atoms and distances in Å follow each position.
Space group P-6m2 (No. 187)
One atom of each set of equivalent atoms:
Th (0.0000, 0.0000, 0.0000)  12 Th 3.51-3.60
Th (0.0000, 0.0000, 0.3380)  3 Mg 3.51, 9 Th 3.51-3.62
Th (0.3333, 0.6667, 0.1684)  12 Th 3.51-3.62
Mg (0.3333, 0.6667, 0.5000)  6 Th 3.51, 6 Mg 3.51

---

## B
## Th5Mg (PBE)

Data for an optimized crystal structure of Th5Mg.

Volume = 31.2 A^3/atom
Crystal system = orthorhombic

a = 5.9296 Å, b = 17.6250 Å, c = 3.5826 Å
α = 90.00°, β = 90.00°, γ = 90.00°
Closest atoms and distances in Å follow each position.
Space group Cmmm (No. 65)
One atom of each set of equivalent atoms:
Th (0.0000, 0.0000, 0.0000)  4 Mg 3.46, 6 Th 3.47-3.58
Th (0.0000, 0.1689, 0.5000)  10 Th 3.47-3.58
Th (0.0000, 0.3408, 0.0000)  2 Mg 3.33, 8 Th 3.47-3.58
Mg (0.0000, 0.5000, 0.5000)  8 Th 3.33-3.46, 2 Mg 3.58

---

Most favorable first, least favorable last: A, B